# PW

Crystalline PW at its relaxed geometry (PBE, Alexandria).

Cell and atoms, written as POSCAR:
```
PW
1.0
3.273 0.000 0.000
0.000 5.751 0.000
0.000 0.000 6.257
W P
4 4
direct
0.750 0.486 0.311
0.250 0.514 0.689
0.250 0.014 0.811
0.750 0.986 0.189
0.250 0.684 0.066
0.750 0.316 0.934
0.750 0.816 0.566
0.250 0.184 0.434
```

Calculated values
The calculation puts the energy relative to the elements at -372 meV/atom. As for the space group: No. 62. As for the calculated volume: 118 Å³ per cell.



# Ac4SmTh3As8

Crystalline Ac4SmTh3As8 at its relaxed geometry (PBE, Alexandria).

Cell and atoms, written as POSCAR:
```
Ac4SmTh3As8
1.0
-5.157 -0.757 -7.027
7.094 -1.195 -5.077
-1.290 -5.157 6.949
Ac As Th Sm
4 8 3 1
direct
0.500 0.000 0.500
0.000 0.000 0.000
0.000 0.000 0.500
0.500 0.000 0.000
0.756 0.269 0.013
0.756 0.269 0.512
0.743 0.731 0.987
0.256 0.269 0.513
0.257 0.269 0.013
0.744 0.731 0.487
0.244 0.731 0.987
0.244 0.731 0.488
0.000 0.500 0.500
0.500 0.500 0.500
0.500 0.500 0.000
0.000 0.500 0.000
```

Calculated values
The calculation puts the energy relative to the elements at -1462 meV/atom. As for the space group: No. 166. As for the calculated volume: 478 Å³ per cell.



# Ag2SnAs2

Crystalline Ag2SnAs2 at its relaxed geometry (PBE, Alexandria).

Cell and atoms, written as POSCAR:
```
Ag2SnAs2
1.0
8.229 0.000 0.000
0.000 8.229 0.000
0.000 0.000 3.085
Ag Sn As
4 2 4
direct
0.876 0.376 0.500
0.624 0.876 0.500
0.376 0.124 0.500
0.124 0.624 0.500
0.500 0.500 0.000
0.000 0.000 0.000
0.824 0.676 0.000
0.676 0.176 0.000
0.176 0.324 0.000
0.324 0.824 0.000
```

Calculated values
The calculation puts the energy relative to the elements at 154 meV/atom. As for the space group: No. 127. As for the calculated volume: 209 Å³ per cell.



# LiAg2F4

Crystalline LiAg2F4 at its relaxed geometry (PBE, Alexandria).

Cell and atoms, written as POSCAR:
```
LiAg2F4
1.0
-1.600 -5.289 0.371
2.013 0.422 -5.142
6.225 -1.722 2.296
F Ag Li
8 4 2
direct
0.766 0.766 0.225
0.717 0.283 0.500
0.734 0.734 0.725
0.217 0.783 0.000
0.783 0.217 0.000
0.266 0.266 0.275
0.234 0.234 0.775
0.283 0.717 0.500
0.004 0.504 0.250
0.496 0.996 0.750
0.996 0.496 0.750
0.504 0.004 0.250
0.500 0.500 0.500
0.000 0.000 0.000
```

Calculated values
As for the space group: No. 64. As for the calculated volume: 204 Å³ per cell.



# Er4RuPb5

Crystalline Er4RuPb5 at its relaxed geometry (PBE, Alexandria).

Cell and atoms, written as POSCAR:
```
Er4RuPb5
1.0
3.533 0.000 0.000
0.000 9.858 -0.668
-1.767 -1.978 8.595
Pb Ru Er
5 1 4
direct
0.787 0.647 0.573
0.159 0.751 0.318
0.500 0.500 0.000
0.841 0.249 0.682
0.213 0.353 0.427
0.500 0.000 0.000
0.020 0.221 0.040
0.654 0.039 0.307
0.980 0.779 0.960
0.346 0.961 0.693
```

Calculated values
The calculation puts the energy relative to the elements at -201 meV/atom. As for the space group: No. 12. As for the calculated volume: 295 Å³ per cell.



# Rb2AcSi2O6

Crystalline Rb2AcSi2O6 at its relaxed geometry (PBE, Alexandria).

Cell and atoms, written as POSCAR:
```
Rb2AcSi2O6
1.0
6.137 0.000 0.000
3.069 5.315 0.000
3.069 1.772 6.363
Rb O Si Ac
2 6 2 1
direct
0.212 0.212 0.365
0.788 0.788 0.635
0.265 0.265 0.756
0.287 0.735 0.244
0.735 0.287 0.244
0.265 0.713 0.756
0.735 0.735 0.244
0.713 0.265 0.756
0.568 0.568 0.295
0.432 0.432 0.705
0.000 0.000 0.000
```

Calculated values
As for the space group: No. 166. As for the calculated volume: 208 Å³ per cell.



# Ce2AlGa6Ag

Crystalline Ce2AlGa6Ag at its relaxed geometry (PBE, Alexandria).

Cell and atoms, written as POSCAR:
```
Ce2AlGa6Ag
1.0
-0.992 -5.213 3.420
1.686 -5.641 -2.281
11.505 -2.351 5.581
Ag Ga Ce Al
2 12 4 2
direct
0.425 0.425 0.726
0.575 0.575 0.274
0.802 0.239 0.157
0.943 0.341 0.375
0.659 0.057 0.625
0.057 0.659 0.625
0.802 0.802 0.157
0.198 0.198 0.843
0.761 0.198 0.843
0.198 0.761 0.843
0.341 0.943 0.375
0.239 0.802 0.157
0.659 0.659 0.625
0.341 0.341 0.375
0.688 0.688 0.937
0.312 0.312 0.063
0.869 0.869 0.393
0.131 0.131 0.607
0.500 0.500 0.500
0.000 0.000 0.000
```

Calculated values
The calculation puts the energy relative to the elements at -186 meV/atom. As for the space group: No. 166. As for the calculated volume: 431 Å³ per cell.



# RbLiRh3

Crystalline RbLiRh3 at its relaxed geometry (PBE, Alexandria).

Cell and atoms, written as POSCAR:
```
RbLiRh3
1.0
4.921 0.000 0.000
0.000 4.921 0.000
0.000 0.000 4.921
Rh Rb Li
3 1 1
direct
0.500 0.000 0.000
0.000 0.000 0.500
0.000 0.500 0.000
0.000 0.000 0.000
0.500 0.500 0.500
```

Calculated values
The calculation puts the energy relative to the elements at 2043 meV/atom. As for the space group: No. 221. As for the calculated volume: 119 Å³ per cell.



# OsPdRu

Crystalline OsPdRu at its relaxed geometry (PBE, Alexandria).

Cell and atoms, written as POSCAR:
```
OsPdRu
1.0
-0.675 -2.357 1.221
1.232 -1.394 -2.010
4.729 1.990 3.385
Pd Ru Os
1 1 1
direct
0.001 0.001 0.002
0.324 0.324 0.647
0.675 0.675 0.351
```

Calculated values
The calculation puts the energy relative to the elements at 147 meV/atom. As for the space group: No. 107. As for the calculated volume: 44 Å³ per cell.



# NaSi2NiS

Crystalline NaSi2NiS at its relaxed geometry (PBE, Alexandria).

Cell and atoms, written as POSCAR:
```
NaSi2NiS
1.0
4.907 0.000 0.000
0.000 4.654 0.000
0.000 0.000 4.907
Si S Ni Na
2 1 1 1
direct
0.000 0.000 0.500
0.500 0.000 0.000
0.000 0.500 0.000
0.500 0.500 0.500
0.000 0.000 0.000
```

Calculated values
As for the space group: No. 123. As for the calculated volume: 112 Å³ per cell.



# Ca5Ge3F

Crystalline Ca5Ge3F at its relaxed geometry (PBE, Alexandria).

Cell and atoms, written as POSCAR:
```
Ca5Ge3F
1.0
7.024 0.000 -3.314
-1.564 6.847 -3.314
0.022 0.027 9.146
Ca Ge F
10 6 2
direct
0.315 0.815 0.298
0.017 0.517 0.702
0.185 0.017 0.702
0.483 0.315 0.298
0.685 0.185 0.702
0.815 0.983 0.298
0.517 0.685 0.702
0.500 0.500 0.000
0.983 0.483 0.298
0.000 0.000 0.000
0.250 0.250 0.500
0.118 0.382 0.000
0.750 0.750 0.500
0.618 0.118 0.000
0.882 0.618 0.000
0.382 0.882 0.000
0.250 0.750 0.500
0.750 0.250 0.500
```

Calculated values
As for the space group: No. 140. As for the calculated volume: 441 Å³ per cell.



# InBRh2

Crystalline InBRh2 at its relaxed geometry (PBE, Alexandria).

Cell and atoms, written as POSCAR:
```
InBRh2
1.0
0.000 3.029 3.029
3.029 0.000 3.029
3.029 3.029 0.000
Rh B In
2 1 1
direct
0.750 0.750 0.750
0.250 0.250 0.250
0.000 0.000 0.000
0.500 0.500 0.500
```

Calculated values
The calculation puts the energy relative to the elements at 270 meV/atom. As for the space group: No. 225. As for the calculated volume: 56 Å³ per cell.



# V6GeB2

Crystalline V6GeB2 at its relaxed geometry (PBE, Alexandria).

Cell and atoms, written as POSCAR:
```
V6GeB2
1.0
-1.803 6.062 -1.594
-2.236 -2.264 5.693
6.467 -0.255 0.809
V Ge B
12 2 4
direct
0.702 0.386 0.684
0.702 0.019 0.316
0.089 0.290 0.799
0.509 0.710 0.799
0.298 0.614 0.316
0.491 0.290 0.201
0.773 0.247 0.020
0.298 0.981 0.684
0.227 0.247 0.474
0.227 0.753 0.980
0.911 0.710 0.201
0.773 0.753 0.526
0.000 0.000 0.000
0.000 0.500 0.500
0.500 0.608 0.108
0.378 0.000 0.378
0.622 0.000 0.622
0.500 0.392 0.892
```

Calculated values
The calculation puts the energy relative to the elements at -444 meV/atom. As for the space group: No. 71. As for the calculated volume: 211 Å³ per cell.



# Sm2ErOs

Crystalline Sm2ErOs at its relaxed geometry (PBE, Alexandria).

Cell and atoms, written as POSCAR:
```
Sm2ErOs
1.0
4.049 -0.169 0.000
-1.778 6.035 0.000
0.000 0.000 9.128
Os Er Sm
2 2 4
direct
0.761 0.522 0.250
0.239 0.478 0.750
0.579 0.157 0.750
0.421 0.843 0.250
0.858 0.716 0.934
0.142 0.284 0.434
0.142 0.284 0.066
0.858 0.716 0.566
```

Calculated values
The calculation puts the energy relative to the elements at -176 meV/atom. As for the space group: No. 63. As for the calculated volume: 220 Å³ per cell.



# PaTlCrSe4

Crystalline PaTlCrSe4 at its relaxed geometry (PBE, Alexandria).

Cell and atoms, written as POSCAR:
```
PaTlCrSe4
1.0
8.021 0.000 0.000
-4.010 6.894 -1.208
0.000 -4.794 7.885
Se Tl Cr Pa
8 2 2 2
direct
0.720 0.000 0.750
0.761 0.521 0.332
0.239 0.479 0.311
0.761 0.521 0.689
0.239 0.479 0.668
0.280 0.000 0.250
0.280 0.000 0.750
0.720 0.000 0.250
0.191 0.381 0.941
0.809 0.619 0.059
0.000 0.500 0.500
0.500 0.500 0.500
0.500 0.000 0.000
0.500 0.000 0.500
```

Calculated values
As for the space group: No. 74. As for the calculated volume: 390 Å³ per cell.



# Ho7SiS5

Crystalline Ho7SiS5 at its relaxed geometry (PBE, Alexandria).

Cell and atoms, written as POSCAR:
```
Ho7SiS5
1.0
3.910 0.000 0.000
-1.955 6.349 0.007
0.000 -0.029 23.003
S Ho Si
10 14 2
direct
0.000 0.001 0.000
0.549 0.098 0.142
0.726 0.451 0.571
0.275 0.550 0.071
0.275 0.550 0.429
0.549 0.097 0.358
0.452 0.904 0.642
0.452 0.904 0.858
0.726 0.451 0.929
0.000 0.000 0.500
0.093 0.187 0.885
0.363 0.725 0.963
0.813 0.625 0.822
0.638 0.276 0.037
0.188 0.376 0.178
0.363 0.725 0.537
0.467 0.935 0.250
0.907 0.814 0.115
0.907 0.814 0.385
0.188 0.376 0.322
0.533 0.066 0.750
0.813 0.625 0.678
0.638 0.276 0.463
0.093 0.187 0.615
0.195 0.391 0.750
0.805 0.611 0.250
```

Calculated values
As for the space group: No. 63. As for the calculated volume: 571 Å³ per cell.



# Fe2Co

Crystalline Fe2Co at its relaxed geometry (PBE, Alexandria).

Cell and atoms, written as POSCAR:
```
Fe2Co
1.0
-2.810 2.810 2.306
2.810 -2.810 2.306
2.810 2.810 -2.306
Fe Co
4 2
direct
0.155 0.345 0.500
0.655 0.155 0.810
0.345 0.845 0.190
0.845 0.655 0.500
0.250 0.250 0.000
0.750 0.750 0.000
```

Calculated values
The calculation puts the energy relative to the elements at 198 meV/atom. As for the space group: No. 140. As for the calculated volume: 73 Å³ per cell.



# Tl3CdW

Crystalline Tl3CdW at its relaxed geometry (PBE, Alexandria).

Cell and atoms, written as POSCAR:
```
Tl3CdW
1.0
-4.494 -1.485 2.930
3.083 -0.191 4.631
-1.135 5.361 0.977
Tl W Cd
3 1 1
direct
0.500 0.000 0.000
0.000 0.500 0.000
0.000 0.000 0.500
0.500 0.500 0.500
0.000 0.000 0.000
```

Calculated values
The calculation puts the energy relative to the elements at 1522 meV/atom. As for the space group: No. 221. As for the calculated volume: 172 Å³ per cell.



# Pm5Hg4Rh

Crystalline Pm5Hg4Rh at its relaxed geometry (PBE, Alexandria).

Cell and atoms, written as POSCAR:
```
Pm5Hg4Rh
1.0
-3.486 0.982 0.842
-1.239 -3.229 -1.366
1.904 -8.020 17.237
Rh Hg Pm
1 4 5
direct
0.000 0.000 0.000
0.000 0.000 0.397
0.000 0.000 0.193
0.000 0.000 0.807
0.000 0.000 0.603
0.500 0.500 0.706
0.500 0.500 0.500
0.500 0.500 0.294
0.500 0.500 0.915
0.500 0.500 0.085
```

Calculated values
The calculation puts the energy relative to the elements at -516 meV/atom. As for the space group: No. 123. As for the calculated volume: 264 Å³ per cell.



# AcPr4SmTm2

Crystalline AcPr4SmTm2 at its relaxed geometry (PBE, Alexandria).

Cell and atoms, written as POSCAR:
```
AcPr4SmTm2
1.0
-2.970 -1.357 4.068
-3.270 -5.399 -0.844
5.963 -4.669 6.141
Pr Ac Tm Sm
4 1 2 1
direct
0.877 0.875 0.370
0.627 0.624 0.122
0.123 0.125 0.630
0.373 0.376 0.878
0.500 0.500 0.500
0.743 0.757 0.756
0.257 0.243 0.244
0.000 0.000 0.000
```

Calculated values
The calculation puts the energy relative to the elements at 33 meV/atom. As for the space group: No. 12. As for the calculated volume: 283 Å³ per cell.



# Rb4Pr3AlO8

Crystalline Rb4Pr3AlO8 at its relaxed geometry (PBE, Alexandria).

Cell and atoms, written as POSCAR:
```
Rb4Pr3AlO8
1.0
7.012 0.000 0.000
0.000 7.703 0.427
-3.506 -3.539 5.300
Rb O Pr Al
4 8 3 1
direct
0.000 0.000 0.000
0.500 0.000 0.000
0.500 0.000 0.500
0.000 0.000 0.500
0.263 0.718 0.526
0.719 0.684 0.438
0.737 0.282 0.474
0.823 0.350 0.048
0.225 0.350 0.048
0.281 0.316 0.562
0.177 0.650 0.952
0.775 0.650 0.952
0.000 0.500 0.500
0.500 0.500 0.500
0.500 0.500 0.000
0.000 0.500 0.000
```

Calculated values
As for the space group: No. 12. As for the calculated volume: 297 Å³ per cell.



Calculated uncorrected energy, -9.55, -6.50, -3.65, -3.74, -4.81, -6.76, -3.85, -2.94, -8.42, -2.79, -4.05, -5.76, -8.52, -6.48, -5.86, -6.13, -7.81, -2.67, -3.75, -4.58, -6.17 eV/atom (same order as the records).